# 1
The following is a DFT calculation (PBE) of crystalline Rb2CdIn at its relaxed geometry.

The structure in POSCAR format:
```
Rb2CdIn
1.0
10.2702 0.0000 0.0000
0.0000 10.2702 0.0000
5.1351 5.1351 3.5168
Cd Rb In
2 4 2
direct
0.5000 0.5000 0.0000 Cd
0.2500 0.7500 0.5000 Cd
0.6113 0.1250 0.2500 Rb
0.1387 0.6250 0.2500 Rb
0.3750 0.3887 0.7500 Rb
0.8750 0.8613 0.7500 Rb
0.0000 0.0000 0.0000 In
0.7500 0.2500 0.5000 In
```

D(E_F) = 0.82 states/eV/atom
ΔH_f (0 K) = 68 kJ/mol of formula units
Space-group type = No. 122
Total magnetic moment = 0.00 μB per formula unit

---

# 2
The following is a DFT calculation (PBE) of crystalline Rb2Cd9In3 at its relaxed geometry.

The structure in POSCAR format:
```
Rb2Cd9In3
1.0
-5.3896 -5.2367 -5.1337
7.6746 3.2838 -3.6253
5.2963 -8.7089 3.3234
Rb Cd In
4 18 6
direct
0.6756 0.9912 0.2500 Rb
0.3244 0.0088 0.7500 Rb
0.9912 0.6756 0.2500 Rb
0.0088 0.3244 0.7500 Rb
0.1481 0.1481 0.2500 Cd
0.8519 0.8519 0.7500 Cd
0.3427 0.3427 0.5421 Cd
0.6573 0.6573 0.0421 Cd
0.3427 0.3427 0.9579 Cd
0.6573 0.6573 0.4579 Cd
0.5425 0.3513 0.2500 Cd
0.4575 0.6487 0.7500 Cd
0.3513 0.5425 0.2500 Cd
0.6487 0.4575 0.7500 Cd
0.3426 0.0214 0.0885 Cd
0.6574 0.9786 0.5885 Cd
0.0214 0.3426 0.4115 Cd
0.9786 0.6574 0.9115 Cd
0.6574 0.9786 0.9115 Cd
0.3426 0.0214 0.4115 Cd
0.9786 0.6574 0.5885 Cd
0.0214 0.3426 0.0885 Cd
0.0000 0.0000 0.0000 In
0.0000 0.0000 0.5000 In
0.3131 0.6869 0.0000 In
0.6869 0.3131 0.5000 In
0.6869 0.3131 0.0000 In
0.3131 0.6869 0.5000 In
```

D(E_F) = 0.47 states/eV/atom
ΔH_f (0 K) = -53 kJ/mol of formula units
Space-group type = No. 63
Total magnetic moment = 0.00 μB per formula unit

---

# 3
The following is a DFT calculation (PBE) of crystalline Rb2CdIn at its relaxed geometry.

The structure in POSCAR format:
```
Rb2CdIn
1.0
4.0055 0.0000 0.0000
2.0027 3.4689 0.0000
2.0027 1.1563 13.3428
Cd Rb In
1 2 1
direct
0.5000 0.5000 0.5000 Cd
0.0914 0.0914 0.7257 Rb
0.9086 0.9086 0.2743 Rb
0.0000 0.0000 0.0000 In
```

D(E_F) = 0.64 states/eV/atom
ΔH_f (0 K) = 100 kJ/mol of formula units
Space-group type = No. 166
Total magnetic moment = 0.00 μB per formula unit

---

# 4
The following is a DFT calculation (PBE) of crystalline Rb3Cd7In2 at its relaxed geometry.

The structure in POSCAR format:
```
Rb3Cd7In2
1.0
-0.7554 -0.6358 4.8670
-0.3907 -5.0065 -0.7146
17.6264 2.6905 3.0871
Rb Cd In
3 7 2
direct
0.5000 0.5000 0.0000 Rb
0.5000 0.6749 0.4108 Rb
0.5000 0.3251 0.5892 Rb
0.0000 0.4982 0.7621 Cd
0.0000 0.8995 0.6603 Cd
0.0000 0.0000 0.0000 Cd
0.0000 0.5018 0.2379 Cd
0.5000 0.0768 0.2374 Cd
0.5000 0.9232 0.7626 Cd
0.0000 0.1005 0.3397 Cd
0.0000 0.0942 0.8532 In
0.0000 0.9058 0.1468 In
```

D(E_F) = 0.48 states/eV/atom
ΔH_f (0 K) = 54 kJ/mol of formula units
Space-group type = No. 10
Total magnetic moment = 0.00 μB per formula unit

---

# 5
The following is a DFT calculation (PBE) of crystalline Rb4Cd5In at its relaxed geometry.

The structure in POSCAR format:
```
Rb4Cd5In
1.0
-5.9796 1.8574 2.2120
-2.5758 -4.6524 6.9116
0.4930 6.2942 6.0157
Rb Cd In
4 5 1
direct
0.7481 0.7033 0.7033 Rb
0.4514 0.2967 0.7033 Rb
0.4514 0.7033 0.2967 Rb
0.1547 0.2967 0.2967 Rb
0.1000 0.6946 0.0000 Cd
0.1000 0.0000 0.6946 Cd
0.7946 0.0000 0.3054 Cd
0.7946 0.3054 0.0000 Cd
0.6690 0.0000 0.0000 Cd
0.2258 0.0000 0.0000 In
```

D(E_F) = 0.47 states/eV/atom
ΔH_f (0 K) = 1 kJ/mol of formula units
Space-group type = No. 107
Total magnetic moment = 0.00 μB per formula unit

---

# 6
The following is a DFT calculation (PBE) of crystalline Rb5Cd4In at its relaxed geometry.

The structure in POSCAR format:
```
Rb5Cd4In
1.0
4.9000 0.0000 -1.0225
-0.7810 8.5629 -3.7428
-0.0533 0.1044 11.9968
Rb Cd In
5 4 1
direct
0.1389 0.2732 0.2778 Rb
0.1985 0.7906 0.3969 Rb
0.8015 0.2094 0.6031 Rb
0.5000 0.5000 0.0000 Rb
0.8611 0.7268 0.7222 Rb
0.6194 0.9410 0.2388 Cd
0.9622 0.1388 0.9244 Cd
0.3806 0.0590 0.7612 Cd
0.0378 0.8612 0.0756 Cd
0.5000 0.0000 0.0000 In
```

D(E_F) = 0.72 states/eV/atom
ΔH_f (0 K) = -31 kJ/mol of formula units
Space-group type = No. 12
Total magnetic moment = 0.00 μB per formula unit

---

# 7
The following is a DFT calculation (PBE) of crystalline RbCd6In2 at its relaxed geometry.

The structure in POSCAR format:
```
RbCd6In2
1.0
4.7214 0.0000 0.0000
0.0000 4.7214 0.0000
0.0000 0.0000 10.9368
Rb Cd In
1 6 2
direct
0.0000 0.0000 0.0000 Rb
0.0000 0.5000 0.3113 Cd
0.5000 0.0000 0.3113 Cd
0.0000 0.5000 0.6887 Cd
0.5000 0.0000 0.6887 Cd
0.5000 0.5000 0.5000 Cd
0.0000 0.0000 0.5000 Cd
0.5000 0.5000 0.1447 In
0.5000 0.5000 0.8553 In
```

D(E_F) = 0.28 states/eV/atom
ΔH_f (0 K) = -28 kJ/mol of formula units
Space-group type = No. 123
Total magnetic moment = 0.00 μB per formula unit

---

# 8
The following is a DFT calculation (PBE) of crystalline Rb2CdIn2 at its relaxed geometry.

The structure in POSCAR format:
```
Rb2CdIn2
1.0
-1.9308 -2.6545 -3.9114
3.3402 -3.7558 0.9001
-4.7188 -6.8018 3.6126
Cd Rb In
1 2 2
direct
0.0000 0.0000 0.0000 Cd
0.7500 0.2500 0.5000 Rb
0.2500 0.7500 0.5000 Rb
0.4145 0.4145 0.1711 In
0.5855 0.5855 0.8289 In
```

D(E_F) = 0.62 states/eV/atom
Energy relative to the lowest polymorph listed for this composition = 310.8 meV per atom
ΔH_f (0 K) = 144 kJ/mol of formula units
Space-group type = No. 139
Total magnetic moment = 0.00 μB per formula unit